# Li12Mg3Rh

An optimized crystal structure of Li12Mg3Rh (GGA-PBE, the Alexandria database).

The structure in CIF format:
```
data_Li12Mg3Rh
_chemical_formula_sum 'Li12 Mg3 Rh1'
_symmetry_space_group_name_H-M 'P 1'
_symmetry_Int_Tables_number 1
_cell_length_a 4.7724
_cell_length_b 4.7724
_cell_length_c 12.8389
_cell_angle_alpha 90.00
_cell_angle_beta 90.00
_cell_angle_gamma 90.00
loop_
_symmetry_equiv_pos_as_xyz
'x,y,z'
loop_
_atom_site_label
_atom_site_type_symbol
_atom_site_fract_x
_atom_site_fract_y
_atom_site_fract_z
Li1 Li 0.5000 0.5000 0.0000
Li2 Li 0.5000 0.5000 0.2376
Li3 Li 0.5000 0.5000 0.5000
Li4 Li 0.5000 0.5000 0.7624
Li5 Li 0.5000 0.0000 0.1005
Li6 Li 0.5000 0.0000 0.3669
Li7 Li 0.5000 0.0000 0.6331
Li8 Li 0.5000 0.0000 0.8995
Li9 Li 0.0000 0.5000 0.1005
Li10 Li 0.0000 0.5000 0.3669
Li11 Li 0.0000 0.5000 0.6331
Li12 Li 0.0000 0.5000 0.8995
Mg1 Mg 0.0000 0.0000 0.2213
Mg2 Mg 0.0000 0.0000 0.5000
Mg3 Mg 0.0000 0.0000 0.7787
Rh1 Rh 0.0000 0.0000 0.0000
```

=====

# LiMg2Rh

An optimized crystal structure of LiMg2Rh (GGA-PBE, the Alexandria database).

The structure in CIF format:
```
data_LiMg2Rh
_chemical_formula_sum 'Li1 Mg2 Rh1'
_symmetry_space_group_name_H-M 'P 1'
_symmetry_Int_Tables_number 1
_cell_length_a 4.5092
_cell_length_b 3.1951
_cell_length_c 4.5099
_cell_angle_alpha 90.01
_cell_angle_beta 90.00
_cell_angle_gamma 90.00
loop_
_symmetry_equiv_pos_as_xyz
'x,y,z'
loop_
_atom_site_label
_atom_site_type_symbol
_atom_site_fract_x
_atom_site_fract_y
_atom_site_fract_z
Mg1 Mg 0.0000 0.1245 0.8750
Mg2 Mg 0.5000 0.1242 0.3749
Rh1 Rh 0.0000 0.6246 0.3751
Li1 Li 0.5000 0.6267 0.8750
```

=====

# LiMg12Rh6

An optimized crystal structure of LiMg12Rh6 (GGA-PBE, the Alexandria database).

The structure in CIF format:
```
data_LiMg12Rh6
_chemical_formula_sum 'Li1 Mg12 Rh6'
_symmetry_space_group_name_H-M 'P 1'
_symmetry_Int_Tables_number 1
_cell_length_a 6.9272
_cell_length_b 6.9272
_cell_length_c 6.9272
_cell_angle_alpha 89.30
_cell_angle_beta 89.30
_cell_angle_gamma 89.30
loop_
_symmetry_equiv_pos_as_xyz
'x,y,z'
loop_
_atom_site_label
_atom_site_type_symbol
_atom_site_fract_x
_atom_site_fract_y
_atom_site_fract_z
Li1 Li 0.0000 0.0000 0.0000
Mg1 Mg 0.8124 0.5294 0.4196
Mg2 Mg 0.4196 0.8124 0.5294
Mg3 Mg 0.5294 0.4196 0.8124
Mg4 Mg 0.1876 0.4706 0.5804
Mg5 Mg 0.5804 0.1876 0.4706
Mg6 Mg 0.4706 0.5804 0.1876
Mg7 Mg 0.0122 0.1429 0.3681
Mg8 Mg 0.8571 0.6319 0.9878
Mg9 Mg 0.6319 0.9878 0.8571
Mg10 Mg 0.9878 0.8571 0.6319
Mg11 Mg 0.1429 0.3681 0.0122
Mg12 Mg 0.3681 0.0122 0.1429
Rh1 Rh 0.7248 0.8833 0.2672
Rh2 Rh 0.7328 0.2752 0.1167
Rh3 Rh 0.1167 0.7328 0.2752
Rh4 Rh 0.2752 0.1167 0.7328
Rh5 Rh 0.2672 0.7248 0.8833
Rh6 Rh 0.8833 0.2672 0.7248
```

=====

Total energy for every record listed, in sequence, given in eV per cell: -35.9, -13.8, -71.0.
M_tot for every record listed, in sequence, given in μB per formula unit: 0.0, 0.0, 0.0.
Formation energy for every record listed, in sequence, given in meV per atom: -47, -336, -309.